First-principles (PBE) data for a relaxed Sr3Hg2 crystal, as listed in the Alexandria database.

Structure (POSCAR):
```
Sr3Hg2
1.0
-7.8398 -2.4262 -3.8703
0.7396 -8.2606 3.6803
-2.2384 1.4224 3.6426
Hg Sr
4 6
direct
0.6421 0.1421 0.0000
0.3579 0.8579 0.0000
0.8579 0.6421 0.0000
0.1421 0.3579 0.0000
0.0000 0.0000 0.0000
0.5000 0.5000 0.0000
0.1543 0.6543 0.5000
0.8457 0.3457 0.5000
0.3457 0.1543 0.5000
0.6543 0.8457 0.5000
```

N(E_F) = 8.3 states/eV/cell
Magnetic moment = 0.00 μB per formula unit
Crystal system = tetragonal
Calculated density = 5.9 Mg/m³
ΔE_f = -0.447 eV per atom
Symmetry = No. 127

---

First-principles (PBE) data for a relaxed Tb2Th4Bi3N2 crystal, as listed in the Alexandria database.

Structure (POSCAR):
```
Tb2Th4Bi3N2
1.0
-2.3921 -3.0779 -2.7293
4.0129 -2.4405 -0.7649
-3.3847 -4.8813 12.6196
Tb Th Bi N
2 4 3 2
direct
0.3038 0.3038 0.6076
0.6962 0.6962 0.3924
0.4121 0.9121 0.8242
0.9121 0.4121 0.8242
0.0879 0.5879 0.1758
0.5879 0.0879 0.1758
0.0000 0.0000 0.0000
0.1828 0.1828 0.3656
0.8172 0.8172 0.6344
0.3908 0.3908 0.7816
0.6092 0.6092 0.2184
```

N(E_F) = 8.6 states/eV/cell
Magnetic moment = 0.00 μB per formula unit
Crystal system = tetragonal
Calculated density = 10.3 Mg/m³
Symmetry = No. 139
ΔE_f (raw) = -0.85 eV per atom

---

First-principles (PBE) data for a relaxed Li2TaPt crystal, as listed in the Alexandria database.

Structure (POSCAR):
```
Li2TaPt
1.0
4.3163 0.0000 0.0000
0.0000 4.3163 0.0000
0.0000 0.0000 2.9897
Li Pt Ta
2 1 1
direct
0.0000 0.0000 0.0000
0.5000 0.5000 0.0000
0.5000 0.0000 0.5000
0.0000 0.5000 0.5000
```

N(E_F) = 3.1 states/eV/cell
Magnetic moment = 0.00 μB per formula unit
Crystal system = tetragonal
Calculated density = 11.6 Mg/m³
ΔE_f = 0.218 eV per atom
Symmetry = No. 123